# 1
{"formula": "MnAl4Cu", "functional": "GGA-PBE", "state": "optimized geometry", "cell": [[-2.943, 2.943, 5.756], [2.943, -2.943, 5.756], [2.943, 2.943, -5.756]], "species": ["Mn", "Mn", "Al", "Al", "Al", "Al", "Al", "Al", "Al", "Al", "Cu", "Cu"], "frac_coords": [[0.375, 0.625, 0.750], [0.625, 0.375, 0.250], [0.000, 0.254, 0.254], [0.000, 0.746, 0.746], [0.254, 0.000, 0.754], [0.254, 0.500, 0.254], [0.500, 0.254, 0.754], [0.500, 0.746, 0.246], [0.746, 0.000, 0.246], [0.746, 0.500, 0.746], [0.125, 0.875, 0.250], [0.875, 0.125, 0.750]], "relative_energy_ev_per_atom": 0.067}

---

# 2
{"formula": "MnAl4Cu", "functional": "GGA-PBE", "state": "optimized geometry", "cell": [[0.000, 3.612, 3.612], [3.612, 0.000, 3.612], [3.612, 3.612, 0.000]], "species": ["Mn", "Al", "Al", "Al", "Al", "Cu"], "frac_coords": [[0.000, 0.000, 0.000], [0.375, 0.375, 0.375], [0.375, 0.375, 0.875], [0.375, 0.875, 0.375], [0.875, 0.375, 0.375], [0.750, 0.750, 0.750]], "relative_energy_ev_per_atom": 0.367}

---

The evaluated V for the records listed, in turn: 199.47; 94.26 Å³/cell.